Material: Tb2Ce2S7
Method: DFT, PBE
State: relaxed

Fermi-level density of states: 3.40 states/eV per cell
Energy relative to the elements, uncorrected: -1883.9 meV/atom

Cell: 3.981 8.435 8.435 Å, 61.53 76.35 76.35°
Fractional coordinates of all 11 atoms:
Tb1 0.000 0.790 0.210
Tb2 0.500 0.332 0.668
Ce1 0.740 0.843 0.677
Ce2 0.260 0.323 0.157
S1 0.814 0.075 0.297
S2 0.862 0.418 0.858
S3 0.500 0.011 0.989
S4 0.611 0.497 0.281
S5 0.389 0.719 0.503
S6 0.186 0.703 0.925
S7 0.138 0.142 0.582

***

Material: Zn2AgOs
Method: DFT, PBE
State: relaxed

ΔE_f: 0.2888 eV per atom
Fermi-level density of states: 1.74 states/eV per cell
Relative energy among the computed polymorphs: 176 meV/atom

Cell: 2.687 4.189 5.407 Å, 90.00 90.00 90.00°
Fractional coordinates of all 4 atoms:
Ag1 0.000 0.000 0.482
Os1 0.500 0.500 0.779
Zn1 0.000 0.000 0.973
Zn2 0.500 0.500 0.265

***

Material: RbLaCl2F
Method: DFT, PBE
State: relaxed

Fermi-level density of states: 3.68 states/eV per cell
Energy relative to the elements, uncorrected: -2342.6 meV/atom

Cell: 5.794 5.794 4.690 Å, 90.00 90.00 90.00°
Fractional coordinates of all 5 atoms:
F1 0.000 0.000 0.500
Cl1 0.000 0.500 0.000
Cl2 0.500 0.000 0.000
Rb1 0.500 0.500 0.500
La1 0.000 0.000 0.000